Density functional theory data (PBE+U) for MgMoN2O after structural relaxation.

Calculated values
- Electronic total energy: -5.27 eV/atom
- Space-group type: No. 123
- Density of states at the Fermi level: 0.3010 states/eV per atom
- Total moment: 0.00 μB/f.u.

a = 3.975 Å, b = 3.975 Å, c = 3.752 Å
α = 90.00°, β = 90.00°, γ = 90.00°
Positions (direct):
Mg  0.000  0.000  0.000
Mo  0.500  0.500  0.500
N  0.000  0.500  0.000
N  0.500  0.000  0.000
O  0.000  0.000  0.500